(1)
DFT (SCAN) results for Tl2RuPb at its PBEsol-relaxed geometry.

Calculated values
- space-group type = R-3m
- DOS(E_F) (states/eV/f.u.) = 3.58
- excess energy over the best structure of this formula in the dataset (meV per atom) = 214
- total magnetic moment (μB/atom) = 0.00

Lattice parameters (Å, degrees): 3.279 3.279 10.058 80.62 80.62 60.00
Element x y z (fractional)
Pb: 0.500 0.500 0.500
Tl: 0.264 0.264 0.207
Tl: 0.736 0.736 0.793
Ru: 0.000 0.000 0.000

---

(2)
DFT (SCAN) results for CoRu3O at its PBEsol-relaxed geometry.

Calculated values
- space-group type = Pm-3m
- DOS(E_F) (states/eV/f.u.) = 4.77
- DFT total energy (eV/atom) = -23.67
- total magnetic moment (μB/atom) = 1.72

Lattice parameters (Å, degrees): 4.353 4.353 4.353 90.00 90.00 90.00
Last column: magnetic moment on the atom in μB.
Element x y z (fractional)
Co: 0.000 0.000 0.000  1.29
O: 0.500 0.500 0.500  0.90
Ru: 0.000 0.000 0.500  2.09
Ru: 0.500 0.000 0.000  2.09
Ru: 0.000 0.500 0.000  2.09

---

(3)
DFT (SCAN) results for Cd3Pd at its PBEsol-relaxed geometry.

Calculated values
- space-group type = P6_3/mmc
- DOS(E_F) (states/eV/f.u.) = 1.53
- DFT total energy (eV/atom) = -31.25
- total magnetic moment (μB/atom) = 0.00

Lattice parameters (Å, degrees): 4.766 5.904 5.904 120.00 90.00 90.00
Element x y z (fractional)
Cd: 0.250 0.170 0.830
Pd: 0.750 0.333 0.667
Pd: 0.250 0.667 0.333
Cd: 0.250 0.170 0.341
Cd: 0.750 0.830 0.170
Cd: 0.750 0.341 0.170
Cd: 0.250 0.659 0.830
Cd: 0.750 0.830 0.659

---

(4)
DFT (SCAN) results for Co21Re2B6 at its PBEsol-relaxed geometry.

Calculated values
- space-group type = Fm-3m
- DOS(E_F) (states/eV/f.u.) = 22.42
- DFT total energy (eV/atom) = -19.08
- total magnetic moment (μB/atom) = 0.73

Lattice parameters (Å, degrees): 7.279 7.279 7.279 60.00 60.00 60.00
Last column: magnetic moment on the atom in μB.
Element x y z (fractional)
Co: 0.000 0.661 0.339  1.47
B: 0.275 0.275 0.725  -0.07
Co: 0.856 0.381 0.381  0.28
Co: 0.619 0.144 0.619  0.28
Co: 0.381 0.381 0.856  0.28
B: 0.725 0.725 0.275  -0.07
Co: 0.339 0.661 0.000  1.47
Co: 0.000 0.339 0.661  1.47
Co: 0.661 0.000 0.339  1.47
Co: 0.381 0.856 0.381  0.28
B: 0.725 0.275 0.725  -0.07
Co: 0.619 0.619 0.144  0.28
Co: 0.339 0.000 0.000  1.47
Co: 0.000 0.000 0.000  2.00
Co: 0.661 0.339 0.000  1.47
Co: 0.144 0.619 0.619  0.28
Re: 0.250 0.250 0.250  -0.02
B: 0.275 0.725 0.275  -0.07
Re: 0.750 0.750 0.750  -0.02
Co: 0.000 0.339 0.000  1.47
Co: 0.619 0.619 0.619  0.28
B: 0.725 0.275 0.275  -0.07
Co: 0.339 0.000 0.661  1.47
Co: 0.661 0.000 0.000  1.47
Co: 0.000 0.000 0.661  1.47
Co: 0.000 0.000 0.339  1.47
Co: 0.000 0.661 0.000  1.47
B: 0.275 0.725 0.725  -0.07
Co: 0.381 0.381 0.381  0.28